Record 1
DFT (PBE) results for an optimized crystal structure of TbCrAs3.

a = 12.0600 Å, b = 5.6536 Å, c = 5.6028 Å
α = 90.00°, β = 90.00°, γ = 90.00°
Positions (direct):
Tb  0.1879  0.0048  0.2500
Tb  0.1879  0.4952  0.7500
Tb  0.8121  0.5048  0.2500
Tb  0.8121  0.9952  0.7500
Cr  0.4112  0.7500  0.0000
Cr  0.4112  0.7500  0.5000
Cr  0.5888  0.2500  0.0000
Cr  0.5888  0.2500  0.5000
As  0.0018  0.7500  0.0000
As  0.0018  0.7500  0.5000
As  0.2833  0.5019  0.2500
As  0.2833  0.9981  0.7500
As  0.4316  0.1073  0.2500
As  0.4316  0.3927  0.7500
As  0.5684  0.6073  0.2500
As  0.5684  0.8927  0.7500
As  0.7167  0.0019  0.2500
As  0.7167  0.4981  0.7500
As  0.9982  0.2500  0.0000
As  0.9982  0.2500  0.5000

## Properties
M_tot	6.34	μB per cell
formation energy from the elements	-675	meV/atom

Record 2
DFT (PBE) results for an optimized crystal structure of IrOsBr2.

a = 2.9173 Å, b = 4.4327 Å, c = 5.4864 Å
α = 90.00°, β = 90.00°, γ = 90.00°
Positions (direct):
Ir  0.0000  0.0000  0.0000
Os  0.5000  0.0000  0.5000
Br  0.0000  0.5000  0.5000
Br  0.5000  0.5000  0.0000

## Properties
M_tot	0.00	μB per cell
E_form (uncorrected)	1.33	eV per atom

Record 3
DFT (PBE) results for an optimized crystal structure of SrTlBr2.

a = 5.8232 Å, b = 4.4556 Å, c = 6.3494 Å
α = 90.00°, β = 100.22°, γ = 90.00°
Positions (direct):
Sr  0.0000  0.0000  0.0000
Tl  0.5000  0.0000  0.5000
Br  0.2150  0.5000  0.7757
Br  0.7850  0.5000  0.2243

## Properties
M_tot	0.72	μB per cell
E_form (uncorrected)	-1.18	eV per atom

Record 4
DFT (PBE) results for an optimized crystal structure of Er2GaNi2.

a = 4.1702 Å, b = 5.3394 Å, c = 8.1622 Å
α = 90.00°, β = 90.00°, γ = 90.00°
Positions (direct):
Er  0.0000  0.0000  0.2020
Er  0.0000  0.0000  0.7980
Er  0.5000  0.5000  0.2980
Er  0.5000  0.5000  0.7020
Ga  0.0000  0.5000  0.0000
Ga  0.5000  0.0000  0.5000
Ni  0.0000  0.2685  0.5000
Ni  0.0000  0.7315  0.5000
Ni  0.5000  0.2315  0.0000
Ni  0.5000  0.7685  0.0000

## Properties
M_tot	0.00	μB per cell
formation energy from the elements	-599	meV/atom

Record 5
DFT (PBE) results for an optimized crystal structure of Ac2PuUO8.

a = 4.0592 Å, b = 7.8085 Å, c = 5.7603 Å
α = 90.00°, β = 95.06°, γ = 90.00°
Positions (direct):
Ac  0.0000  0.2479  0.0000
Ac  0.0000  0.7521  0.0000
Pu  0.5000  0.5000  0.5000
U  0.5000  0.0000  0.5000
O  0.0589  0.5000  0.2724
O  0.0623  0.0000  0.2851
O  0.4589  0.2292  0.7207
O  0.4589  0.7708  0.7207
O  0.5411  0.2292  0.2793
O  0.5411  0.7708  0.2793
O  0.9377  0.0000  0.7149
O  0.9411  0.5000  0.7276

## Properties
M_tot	4.03	μB per cell
E_form (uncorrected)	-3.24	eV per atom

Record 6
DFT (PBE) results for an optimized crystal structure of PrHoCuSn.

a = 7.4192 Å, b = 7.4192 Å, c = 7.4192 Å
α = 90.00°, β = 90.00°, γ = 90.00°
Positions (direct):
Pr  0.0000  0.0000  0.0000
Pr  0.0000  0.5000  0.5000
Pr  0.5000  0.0000  0.5000
Pr  0.5000  0.5000  0.0000
Ho  0.0000  0.0000  0.5000
Ho  0.0000  0.5000  0.0000
Ho  0.5000  0.0000  0.0000
Ho  0.5000  0.5000  0.5000
Cu  0.2500  0.2500  0.2500
Cu  0.2500  0.7500  0.7500
Cu  0.7500  0.2500  0.7500
Cu  0.7500  0.7500  0.2500
Sn  0.2500  0.2500  0.7500
Sn  0.2500  0.7500  0.2500
Sn  0.7500  0.2500  0.2500
Sn  0.7500  0.7500  0.7500

## Properties
M_tot	0.00	μB per cell
formation energy from the elements	-407	meV/atom

Record 7
DFT (PBE) results for an optimized crystal structure of NiSb2AuI.

a = 4.9638 Å, b = 4.9638 Å, c = 5.3082 Å
α = 90.00°, β = 90.00°, γ = 90.00°
Positions (direct):
Ni  0.0000  0.0000  0.0000
Sb  0.0000  0.5000  0.0000
Sb  0.5000  0.0000  0.0000
Au  0.5000  0.5000  0.5000
I  0.0000  0.0000  0.5000

## Properties
M_tot	0.00	μB per cell
E_form (uncorrected)	0.47	eV per atom

Record 8
DFT (PBE) results for an optimized crystal structure of SrAc5In4.

a = 4.0855 Å, b = 4.0855 Å, c = 22.6754 Å
α = 90.00°, β = 90.00°, γ = 90.00°
Positions (direct):
Sr  0.0000  0.0000  0.0000
Ac  0.5000  0.5000  0.1367
Ac  0.5000  0.5000  0.3167
Ac  0.5000  0.5000  0.5000
Ac  0.5000  0.5000  0.6833
Ac  0.5000  0.5000  0.8633
In  0.0000  0.0000  0.2246
In  0.0000  0.0000  0.4087
In  0.0000  0.0000  0.5913
In  0.0000  0.0000  0.7754

## Properties
M_tot	0.00	μB per cell
formation energy from the elements	-315	meV/atom

Record 9
DFT (PBE) results for an optimized crystal structure of Tb3Pm4Sm8.

a = 9.3656 Å, b = 9.3656 Å, c = 6.8531 Å
α = 111.35°, β = 111.35°, γ = 86.77°
Positions (direct):
Tb  0.0000  0.0000  0.0000
Tb  0.0000  0.5000  0.5000
Tb  0.5000  0.0000  0.5000
Pm  0.0000  0.5000  0.0000
Pm  0.5000  0.0000  0.0000
Pm  0.5000  0.5000  0.0000
Pm  0.5000  0.5000  0.5000
Sm  0.1446  0.8554  0.5000
Sm  0.2265  0.2265  0.9397
Sm  0.2403  0.2403  0.4777
Sm  0.2457  0.7543  0.0000
Sm  0.7543  0.2457  0.0000
Sm  0.7597  0.7597  0.5223
Sm  0.7735  0.7735  0.0603
Sm  0.8554  0.1446  0.5000

## Properties
M_tot	0.00	μB per cell
formation energy from the elements	353	meV/atom

Record 10
DFT (PBE) results for an optimized crystal structure of Pr2Si3Pd5.

a = 12.8249 Å, b = 12.8249 Å, c = 7.2563 Å
α = 90.00°, β = 90.00°, γ = 161.38°
Positions (direct):
Pr  0.0465  0.9535  0.5000
Pr  0.3382  0.6618  0.6589
Pr  0.6618  0.3382  0.1589
Pr  0.9535  0.0465  0.0000
Si  0.1222  0.8778  0.8171
Si  0.2561  0.7439  0.1607
Si  0.4693  0.5307  0.6744
Si  0.5307  0.4693  0.1744
Si  0.7439  0.2561  0.6607
Si  0.8778  0.1222  0.3171
Pd  0.0733  0.9267  0.0973
Pd  0.2123  0.7877  0.4633
Pd  0.2172  0.7828  0.8533
Pd  0.3500  0.6500  0.1507
Pd  0.4465  0.5535  0.3373
Pd  0.5535  0.4465  0.8373
Pd  0.6500  0.3500  0.6507
Pd  0.7828  0.2172  0.3533
Pd  0.7877  0.2123  0.9633
Pd  0.9267  0.0733  0.5973

## Properties
M_tot	0.00	μB per cell
E_form (uncorrected)	-0.81	eV per atom

Record 11
DFT (PBE) results for an optimized crystal structure of BaDy3B4S12.

a = 8.1534 Å, b = 8.1534 Å, c = 8.1534 Å
α = 102.22°, β = 102.22°, γ = 102.22°
Positions (direct):
Ba  0.0000  0.0000  0.0000
Dy  0.0000  0.5393  0.4607
Dy  0.4607  0.0000  0.5393
Dy  0.5393  0.4607  0.0000
B  0.0425  0.5000  0.9575
B  0.5000  0.5000  0.5000
B  0.5000  0.9575  0.0425
B  0.9575  0.0425  0.5000
S  0.0165  0.6254  0.8007
S  0.1016  0.8984  0.5000
S  0.1993  0.3746  0.9835
S  0.3568  0.6432  0.5000
S  0.3746  0.9835  0.1993
S  0.5000  0.1016  0.8984
S  0.5000  0.3568  0.6432
S  0.6254  0.8007  0.0165
S  0.6432  0.5000  0.3568
S  0.8007  0.0165  0.6254
S  0.8984  0.5000  0.1016
S  0.9835  0.1993  0.3746

## Properties
M_tot	0.00	μB per cell
E_form (uncorrected)	-1.08	eV per atom

Record 12
DFT (PBE) results for an optimized crystal structure of Ca2InCo.

a = 4.3966 Å, b = 4.2665 Å, c = 11.3903 Å
α = 90.00°, β = 90.00°, γ = 90.00°
Positions (direct):
Ca  0.0000  0.0000  0.0000
Ca  0.0000  0.5000  0.5000
Ca  0.5000  0.0000  0.2938
Ca  0.5000  0.5000  0.7938
In  0.0000  0.0000  0.7058
In  0.0000  0.5000  0.2058
Co  0.5000  0.0000  0.5869
Co  0.5000  0.5000  0.0869

## Properties
M_tot	1.15	μB per cell
formation energy from the elements	-3	meV/atom

Record 13
DFT (PBE) results for an optimized crystal structure of SrAu2Cl6.

a = 9.1057 Å, b = 9.1057 Å, c = 7.6500 Å
α = 106.98°, β = 106.98°, γ = 97.40°
Positions (direct):
Sr  0.1172  0.8828  0.7500
Sr  0.8828  0.1172  0.2500
Au  0.2776  0.4410  0.8565
Au  0.4410  0.2776  0.3565
Au  0.5590  0.7224  0.6435
Au  0.7224  0.5590  0.1435
Cl  0.0783  0.5857  0.8140
Cl  0.0922  0.1810  0.6535
Cl  0.1810  0.0922  0.1535
Cl  0.3210  0.5016  0.4274
Cl  0.4143  0.9217  0.6860
Cl  0.4984  0.6790  0.0726
Cl  0.5016  0.3210  0.9274
Cl  0.5857  0.0783  0.3140
Cl  0.6790  0.4984  0.5726
Cl  0.8190  0.9078  0.8465
Cl  0.9078  0.8190  0.3465
Cl  0.9217  0.4143  0.1860

## Properties
M_tot	0.00	μB per cell
E_form (uncorrected)	-0.92	eV per atom

Record 14
DFT (PBE) results for an optimized crystal structure of TaSbTe2.

a = 3.5541 Å, b = 3.5541 Å, c = 28.4552 Å
α = 90.00°, β = 90.00°, γ = 120.00°
Positions (direct):
Ta  0.0000  0.0000  0.0000
Ta  0.3333  0.6667  0.6667
Ta  0.6667  0.3333  0.3333
Sb  0.0000  0.0000  0.5000
Sb  0.3333  0.6667  0.1667
Sb  0.6667  0.3333  0.8333
Te  0.0000  0.0000  0.2660
Te  0.0000  0.0000  0.7340
Te  0.3333  0.6667  0.4007
Te  0.3333  0.6667  0.9326
Te  0.6667  0.3333  0.0674
Te  0.6667  0.3333  0.5993

## Properties
M_tot	0.00	μB per cell
E_form (uncorrected)	-0.05	eV per atom

Record 15
DFT (PBE) results for an optimized crystal structure of La6Ru3BrCl2.

a = 9.9874 Å, b = 9.9874 Å, c = 9.0848 Å
α = 109.86°, β = 109.86°, γ = 24.05°
Positions (direct):
La  0.0103  0.0103  0.2181
La  0.3196  0.3196  0.4422
La  0.3420  0.3420  0.8915
La  0.6580  0.6580  0.1085
La  0.6804  0.6804  0.5578
La  0.9897  0.9897  0.7819
Ru  0.1678  0.1678  0.3274
Ru  0.5000  0.5000  0.0000
Ru  0.8322  0.8322  0.6726
Br  0.5000  0.5000  0.5000
Cl  0.1672  0.1672  0.8324
Cl  0.8328  0.8328  0.1676

## Properties
M_tot	0.00	μB per cell
E_form (uncorrected)	-0.97	eV per atom

Record 16
DFT (PBE) results for an optimized crystal structure of NpTcSn.

a = 4.5677 Å, b = 4.7468 Å, c = 6.8325 Å
α = 87.62°, β = 76.62°, γ = 63.43°
Positions (direct):
Np  0.2145  0.3728  0.0936
Np  0.7855  0.6272  0.9064
Tc  0.2578  0.8422  0.8133
Tc  0.7422  0.1578  0.1867
Sn  0.3864  0.7927  0.3817
Sn  0.6136  0.2073  0.6183

## Properties
M_tot	1.61	μB per cell
formation energy from the elements	99	meV/atom

Record 17
DFT (PBE) results for an optimized crystal structure of Ti2AlNiAg.

a = 4.7838 Å, b = 4.7838 Å, c = 4.6014 Å
α = 90.00°, β = 90.00°, γ = 90.00°
Positions (direct):
Ti  0.0000  0.5000  0.0000
Ti  0.5000  0.0000  0.0000
Al  0.0000  0.0000  0.5000
Ni  0.5000  0.5000  0.5000
Ag  0.5000  0.5000  0.0000

## Properties
M_tot	0.00	μB per cell
formation energy from the elements	1053	meV/atom

Record 18
DFT (PBE) results for an optimized crystal structure of NbPb3I.

a = 5.5926 Å, b = 5.5926 Å, c = 5.5926 Å
α = 90.00°, β = 90.00°, γ = 90.00°
Positions (direct):
Nb  0.0000  0.0000  0.0000
Pb  0.0000  0.0000  0.5000
Pb  0.0000  0.5000  0.0000
Pb  0.5000  0.0000  0.0000
I  0.5000  0.5000  0.5000

## Properties
M_tot	0.00	μB per cell
E_form (uncorrected)	0.28	eV per atom

Record 19
DFT (PBE) results for an optimized crystal structure of Al2Cu3Au.

a = 6.3757 Å, b = 6.3757 Å, c = 7.9817 Å
α = 117.07°, β = 117.07°, γ = 36.25°
Positions (direct):
Al  0.0209  0.0209  0.3410
Al  0.3019  0.3019  0.6611
Al  0.6981  0.6981  0.3389
Al  0.9791  0.9791  0.6590
Cu  0.1146  0.1146  0.1151
Cu  0.2127  0.2127  0.8934
Cu  0.4539  0.4539  0.1132
Cu  0.5461  0.5461  0.8868
Cu  0.7873  0.7873  0.1066
Cu  0.8854  0.8854  0.8849
Au  0.3628  0.3628  0.3831
Au  0.6372  0.6372  0.6169

## Properties
M_tot	0.00	μB per cell
formation energy from the elements	-177	meV/atom

Record 20
DFT (PBE) results for an optimized crystal structure of Mn2FeBr.

a = 5.5157 Å, b = 7.4356 Å, c = 2.9787 Å
α = 90.00°, β = 90.00°, γ = 90.00°
Positions (direct):
Mn  0.2500  0.2500  0.0000
Mn  0.2500  0.7500  0.0000
Mn  0.7500  0.2500  0.0000
Mn  0.7500  0.7500  0.0000
Fe  0.0000  0.0000  0.5000
Fe  0.5000  0.5000  0.5000
Br  0.0000  0.5000  0.5000
Br  0.5000  0.0000  0.5000

## Properties
M_tot	19.42	μB per cell
E_form (uncorrected)	0.65	eV per atom

Record 21
DFT (PBE) results for an optimized crystal structure of Ac4Ce3ThSe8.

a = 8.7096 Å, b = 8.7096 Å, c = 8.7096 Å
α = 59.42°, β = 59.42°, γ = 59.42°
Positions (direct):
Ac  0.0000  0.0000  0.0000
Ac  0.0000  0.5000  0.5000
Ac  0.5000  0.0000  0.5000
Ac  0.5000  0.5000  0.0000
Ce  0.0000  0.0000  0.5000
Ce  0.0000  0.5000  0.0000
Ce  0.5000  0.0000  0.0000
Th  0.5000  0.5000  0.5000
Se  0.2444  0.2444  0.2444
Se  0.2443  0.7446  0.7446
Se  0.2554  0.2554  0.7557
Se  0.2554  0.7557  0.2554
Se  0.7446  0.2443  0.7446
Se  0.7446  0.7446  0.2443
Se  0.7557  0.2554  0.2554
Se  0.7556  0.7556  0.7556

## Properties
M_tot	2.74	μB per cell
E_form (uncorrected)	-1.79	eV per atom

Record 22
DFT (PBE) results for an optimized crystal structure of Ce3Ho2Os2.

a = 11.4371 Å, b = 3.9403 Å, c = 8.6610 Å
α = 90.00°, β = 115.03°, γ = 90.00°
Positions (direct):
Ce  0.0000  0.0000  0.0000
Ce  0.1117  0.0000  0.4314
Ce  0.3883  0.5000  0.5686
Ce  0.5000  0.5000  0.0000
Ce  0.6117  0.5000  0.4314
Ce  0.8883  0.0000  0.5686
Ho  0.1630  0.5000  0.8132
Ho  0.3370  0.0000  0.1868
Ho  0.6630  0.0000  0.8132
Ho  0.8370  0.5000  0.1868
Os  0.1682  0.5000  0.2360
Os  0.3318  0.0000  0.7640
Os  0.6682  0.0000  0.2360
Os  0.8318  0.5000  0.7640

## Properties
M_tot	1.66	μB per cell
formation energy from the elements	-181	meV/atom

Record 23
DFT (PBE) results for an optimized crystal structure of LiPr2As.

a = 4.0045 Å, b = 4.0045 Å, c = 31.7006 Å
α = 90.00°, β = 90.00°, γ = 120.00°
Positions (direct):
Li  0.0000  0.0000  0.0000
Li  0.3333  0.6667  0.6667
Li  0.6667  0.3333  0.3333
Pr  0.0000  0.0000  0.1112
Pr  0.0000  0.0000  0.8888
Pr  0.3333  0.6667  0.5555
Pr  0.3333  0.6667  0.7779
Pr  0.6667  0.3333  0.2221
Pr  0.6667  0.3333  0.4445
As  0.0000  0.0000  0.5000
As  0.3333  0.6667  0.1667
As  0.6667  0.3333  0.8333

## Properties
M_tot	0.01	μB per cell
formation energy from the elements	-426	meV/atom